(1)
The following is a PBE-GGA calculation of a relaxed Mg2CrOs crystal, from Alexandria.

Unit cell a=5.211 b=5.211 c=4.313 alpha=65.51 beta=65.51 gamma=36.26
Last column: magnetic moment on the atom in μB.
Sites, in units of the cell vectors:
Mg: 0.495 0.495 0.505  -0.02
Os: 0.750 0.750 0.750  -0.16
Mg: 0.005 0.005 0.995  -0.02
Cr: 0.250 0.250 0.250  2.32

Summary:
* total magnetic moment: 2.21 μB/cell
* density: 7.75 Mg/m³
* energy above the lowest structure with this stoichiometry: 0.242 eV/atom
* space-group type: Immm, No. 71


(2)
The following is a PBE-GGA calculation of a relaxed K2PaTa3O12 crystal, from Alexandria.

Unit cell a=7.666 b=7.666 c=7.666 alpha=59.15 beta=59.15 gamma=59.15
Last column: magnetic moment on the atom in μB.
Sites, in units of the cell vectors:
Pa: 0.000 0.000 0.000  0.03
O: 0.075 0.075 0.662  0.11
Ta: 0.000 0.000 0.500  -0.03
O: 0.925 0.925 0.338  0.11
K: 0.628 0.628 0.628  0.00
O: 0.695 0.695 0.066  0.12
O: 0.305 0.305 0.934  0.12
O: 0.695 0.066 0.695  0.12
O: 0.338 0.925 0.925  0.11
O: 0.934 0.305 0.305  0.12
O: 0.662 0.075 0.075  0.11
Ta: 0.000 0.500 0.000  -0.03
O: 0.075 0.662 0.075  0.11
Ta: 0.500 0.000 0.000  -0.03
O: 0.305 0.934 0.305  0.12
O: 0.925 0.338 0.925  0.11
K: 0.372 0.372 0.372  0.00
O: 0.066 0.695 0.695  0.12

Summary:
* total magnetic moment: 1.59 μB/cell
* density: 5.55 Mg/m³
* energy relative to the elements, uncorrected: -2.619 eV per atom
* space-group type: R-3m, No. 166


(3)
The following is a PBE-GGA calculation of a relaxed Cs3CuBr crystal, from Alexandria.

Unit cell a=6.951 b=6.951 c=6.951 alpha=90.00 beta=90.00 gamma=90.00
Sites, in units of the cell vectors:
Cu: 0.500 0.500 0.500
Cs: 0.000 0.500 0.000
Cs: 0.000 0.000 0.500
Br: 0.000 0.000 0.000
Cs: 0.500 0.000 0.000

Summary:
* total magnetic moment: 0.00 μB/cell
* density: 2.68 Mg/m³
* energy above the lowest structure with this stoichiometry: 0.000 eV/atom
* energy relative to the elements, uncorrected: -0.359 eV per atom
* space-group type: Pm-3m, No. 221


(4)
The following is a PBE-GGA calculation of a relaxed Rb3Tb3VTe8 crystal, from Alexandria.

Unit cell a=8.698 b=8.710 c=10.197 alpha=115.34 beta=90.00 gamma=119.98
Last column: magnetic moment on the atom in μB.
Sites, in units of the cell vectors:
Tb: 0.500 0.000 0.500  0.00
V: 0.000 0.000 0.500  1.65
Rb: 0.000 0.500 0.000  0.00
Te: 0.784 0.029 0.313  -0.05
Tb: 0.500 0.500 0.500  0.01
Te: 0.216 0.431 0.687  -0.05
Te: 0.734 0.468 0.703  -0.02
Te: 0.216 0.971 0.687  -0.05
Rb: 0.000 0.000 0.000  0.00
Tb: 0.000 0.500 0.500  0.01
Te: 0.755 0.971 0.687  -0.05
Rb: 0.500 0.500 0.000  0.00
Te: 0.266 0.532 0.297  -0.02
Te: 0.784 0.569 0.313  -0.05
Te: 0.245 0.029 0.313  -0.05

Summary:
* total magnetic moment: 1.31 μB/cell
* density: 5.15 Mg/m³
* energy relative to the elements, uncorrected: -1.097 eV per atom
* space-group type: C2/m, No. 12


(5)
The following is a PBE-GGA calculation of a relaxed BeSiTcMo2 crystal, from Alexandria.

Unit cell a=4.719 b=4.494 c=4.719 alpha=90.00 beta=90.00 gamma=90.00
Last column: magnetic moment on the atom in μB.
Sites, in units of the cell vectors:
Tc: 0.000 0.000 0.000  -0.08
Mo: 0.000 0.000 0.500  0.43
Mo: 0.500 0.000 0.000  0.56
Si: 0.000 0.500 0.000  -0.01
Be: 0.500 0.500 0.500  -0.03

Summary:
* total magnetic moment: 0.97 μB/cell
* density: 5.43 Mg/m³
* energy relative to the elements, uncorrected: 1.595 eV per atom
* space-group type: P4/mmm, No. 123


(6)
The following is a PBE-GGA calculation of a relaxed K2TeRh crystal, from Alexandria.

Unit cell a=6.319 b=6.319 c=6.319 alpha=138.71 beta=125.92 gamma=70.24
Last column: magnetic moment on the atom in μB.
Sites, in units of the cell vectors:
Rh: 0.427 0.427 0.000  0.05
K: 0.729 0.229 0.500  0.00
K: 0.030 0.030 0.000  0.00
Te: 0.314 0.814 0.500  0.01

Summary:
* total magnetic moment: 0.07 μB/cell
* density: 3.87 Mg/m³
* energy relative to the elements, uncorrected: -0.297 eV per atom
* space-group type: Imm2, No. 44


(7)
The following is a PBE-GGA calculation of a relaxed GaGeAsS crystal, from Alexandria.

Unit cell a=3.747 b=3.747 c=8.530 alpha=89.96 beta=89.96 gamma=60.00
Sites, in units of the cell vectors:
S: 0.573 0.573 0.078
Ge: 0.239 0.239 0.486
As: 0.906 0.906 0.623
Ga: 0.239 0.239 0.197

Summary:
* total magnetic moment: 0.00 μB/cell
* density: 3.99 Mg/m³
* energy relative to the elements, uncorrected: -0.329 eV per atom
* space-group type: P3m1, No. 156


(8)
The following is a PBE-GGA calculation of a relaxed Ac3Si2Pd9Pb crystal, from Alexandria.

Unit cell a=6.508 b=6.508 c=9.415 alpha=90.00 beta=90.00 gamma=120.00
Sites, in units of the cell vectors:
Si: 0.333 0.667 0.164
Pd: 0.700 0.850 0.272
Pd: 0.150 0.850 0.272
Pd: 0.000 0.500 0.000
Pd: 0.850 0.700 0.728
Si: 0.667 0.333 0.836
Pd: 0.850 0.150 0.728
Pd: 0.150 0.300 0.272
Pd: 0.500 0.000 0.000
Ac: 0.000 0.000 0.000
Ac: 0.667 0.333 0.307
Pb: 0.000 0.000 0.500
Ac: 0.333 0.667 0.693
Pd: 0.500 0.500 0.000
Pd: 0.300 0.150 0.728

Summary:
* total magnetic moment: 0.00 μB/cell
* density: 9.15 Mg/m³
* energy relative to the elements, uncorrected: -0.645 eV per atom
* space-group type: P-3m1, No. 164


(9)
The following is a PBE-GGA calculation of a relaxed La2ScH crystal, from Alexandria.

Unit cell a=7.468 b=7.468 c=6.479 alpha=54.81 beta=54.81 gamma=90.00
Sites, in units of the cell vectors:
La: 0.875 0.764 0.750
H: 0.500 0.500 0.000
Sc: 0.000 0.000 0.000
Sc: 0.750 0.250 0.500
La: 0.236 0.625 0.250
H: 0.250 0.750 0.500
La: 0.514 0.125 0.250
La: 0.375 0.486 0.750

Summary:
* total magnetic moment: 0.00 μB/cell
* density: 5.14 Mg/m³
* energy above the lowest structure with this stoichiometry: 0.062 eV/atom
* space-group type: I-42d, No. 122


(10)
The following is a PBE-GGA calculation of a relaxed LaTeOs2 crystal, from Alexandria.

Unit cell a=3.084 b=3.084 c=9.347 alpha=90.00 beta=90.00 gamma=116.24
Sites, in units of the cell vectors:
Os: 0.000 0.000 0.001
La: 0.500 0.500 0.750
Te: 0.500 0.500 0.250
Os: 0.000 0.000 0.499

Summary:
* total magnetic moment: 0.00 μB/cell
* density: 13.48 Mg/m³
* energy relative to the elements, uncorrected: 0.929 eV per atom
* space-group type: Cmmm, No. 65


(11)
The following is a PBE-GGA calculation of a relaxed K2Hg crystal, from Alexandria.

Unit cell a=7.162 b=7.162 c=7.162 alpha=105.72 beta=105.72 gamma=117.27
Sites, in units of the cell vectors:
K: 0.825 0.325 0.151
K: 0.175 0.675 0.849
Hg: 0.250 0.250 0.000
Hg: 0.750 0.750 0.000
K: 0.675 0.825 0.500
K: 0.325 0.175 0.500

Summary:
* total magnetic moment: 0.00 μB/cell
* density: 3.32 Mg/m³
* energy above the lowest structure with this stoichiometry: 0.001 eV/atom
* space-group type: I4/mcm, No. 140


(12)
The following is a PBE-GGA calculation of a relaxed CrCdAs2 crystal, from Alexandria.

Unit cell a=7.289 b=7.289 c=7.289 alpha=156.68 beta=149.39 gamma=38.84
Last column: magnetic moment on the atom in μB.
Sites, in units of the cell vectors:
Cr: 0.785 0.285 0.500  2.55
Cd: 0.559 0.559 0.000  0.02
As: 0.934 0.934 0.000  -0.08
As: 0.222 0.722 0.500  -0.09

Summary:
* energy: -19.45 eV per cell
* total magnetic moment: 2.53 μB/cell
* density: 6.70 Mg/m³
* space-group type: Imm2, No. 44